No. 1
## CsPaNb2O8 (PBE)

Data for crystalline CsPaNb2O8 at its relaxed geometry.

Computed properties:
Its calculated volume is 23.32 Å³ per atom. Its uncorrected energy is -8.64 eV/atom.

Cell: 6.1780 6.1780 8.4679 Å, 90.00 90.00 120.00°
Space group P-3m1 (No. 164)
Unique sites:
1 Cs 0.0000 0.0000 0.0000 (multiplicity 1)
2 Pa 0.0000 0.0000 0.5000 (multiplicity 1)
3 Nb 0.3333 0.6667 0.2761 (multiplicity 2)
4 O 0.1634 0.3269 0.3471 (multiplicity 6)
5 O 0.3333 0.6667 0.0661 (multiplicity 2)

***

No. 2
## Cs2PaNbO6 (PBE)

Data for crystalline Cs2PaNbO6 at its relaxed geometry.

Computed properties:
Its calculated volume is 16.01 Å³ per atom. Its uncorrected energy is -7.73 eV/atom.

Cell: 8.620 8.620 8.620 Å, 90.00 90.00 90.00°
Space group Fm-3m (No. 225)
Unique sites:
1 Cs 0.250 0.250 0.250 (multiplicity 8)
2 Pa 0.000 0.000 0.000 (multiplicity 4)
3 Nb 0.000 0.000 0.500 (multiplicity 4)
4 O 0.000 0.000 0.260 (multiplicity 24)

***

No. 3
## CsNb2PbO6 (PBE)

Data for crystalline CsNb2PbO6 at its relaxed geometry.

Computed properties:
Its calculated volume is 22.30 Å³ per atom. Its uncorrected energy is -7.51 eV/atom.

Cell: 12.229 11.948 6.270 Å, 90.00 103.25 90.00°
Space group C2/c (No. 15)
Unique sites:
1 Cs 0.000 0.129 0.250 (multiplicity 4)
2 Nb 0.246 0.099 0.787 (multiplicity 8)
3 Pb 0.000 0.333 0.750 (multiplicity 4)
4 O 0.117 0.332 0.137 (multiplicity 8)
5 O 0.121 0.194 0.708 (multiplicity 8)
6 O 0.233 0.003 0.035 (multiplicity 8)

***

No. 4
## CsNbPbO4 (PBE)

Data for crystalline CsNbPbO4 at its relaxed geometry.

Computed properties:
Its calculated volume is 25.17 Å³ per atom. Its uncorrected energy is -6.96 eV/atom.

Cell: 7.060 6.489 8.266 Å, 90.00 111.50 90.00°
Space group P2_1/m (No. 11)
Unique sites:
1 Cs 0.210 0.250 0.473 (multiplicity 2)
2 Nb 0.217 0.750 0.185 (multiplicity 2)
3 Pb 0.304 0.250 0.025 (multiplicity 2)
4 O 0.014 0.750 0.959 (multiplicity 2)
5 O 0.083 0.750 0.338 (multiplicity 2)
6 O 0.386 0.512 0.221 (multiplicity 4)

***

No. 5
## Cs2NbPbO4 (PBE)

Data for crystalline Cs2NbPbO4 at its relaxed geometry.

Computed properties:
Its calculated volume is 24.86 Å³ per atom. Its uncorrected energy is -6.22 eV/atom.

Cell: 7.100 7.100 7.893 Å, 90.00 90.00 90.00°
Space group I-4 (No. 82)
Unique sites:
1 Cs 0.000 0.000 0.000 (multiplicity 2)
2 Cs 0.000 0.500 0.250 (multiplicity 2)
3 Nb 0.000 0.500 0.750 (multiplicity 2)
4 Pb 0.000 0.000 0.500 (multiplicity 2)
5 O 0.121 0.324 0.607 (multiplicity 8)

***

No. 6
## Cs3Nb2PbO8 (PBE)

Data for crystalline Cs3Nb2PbO8 at its relaxed geometry.

Computed properties:
Its calculated volume is 21.92 Å³ per atom. Its uncorrected energy is -6.75 eV/atom.

Cell: 6.4695 6.4695 8.4663 Å, 90.00 90.00 120.00°
Space group P-3m1 (No. 164)
Unique sites:
1 Cs 0.0000 0.0000 0.0000 (multiplicity 1)
2 Cs 0.3333 0.6667 0.7094 (multiplicity 2)
3 Nb 0.3333 0.6667 0.2630 (multiplicity 2)
4 Pb 0.0000 0.0000 0.5000 (multiplicity 1)
5 O 0.1719 0.3437 0.3324 (multiplicity 6)
6 O 0.3333 0.6667 0.0481 (multiplicity 2)

***

Which value of uncorrected energy does entry 5 give?
-6.22 eV/atom